1.
This record from Alexandria via LeMat-Bulk describes Ag7Rh at its PBEsol-relaxed geometry. The functional is SCAN.

Cell and atoms, written as CIF:
```
data_Ag7Rh
_cell_length_a 8.0164
_cell_length_b 8.0164
_cell_length_c 8.0164
_cell_angle_alpha 90.00
_cell_angle_beta 90.00
_cell_angle_gamma 90.00
_space_group_name_H-M_alt 'F m -3 m'
_space_group_IT_number 225
_space_group_name_Hall '-F 4 2 3'
loop_
_atom_site_label
_atom_site_fract_x
_atom_site_fract_y
_atom_site_fract_z
Ag1 0.0000 0.0000 0.0000
Ag2 0.0000 0.2500 0.2500
Rh1 0.0000 0.0000 0.5000
```

Energy of formation in meV per atom: 92
Total magnetic moment in μB per atom: 0.000
D(E_F) in states/eV/atom: 0.447

***

2.
This record from Alexandria via LeMat-Bulk describes Ag4Rh at its PBEsol-relaxed geometry. The functional is SCAN.

Cell and atoms, written as CIF:
```
data_Ag4Rh
_cell_length_a 6.2851
_cell_length_b 6.2851
_cell_length_c 4.0159
_cell_angle_alpha 90.00
_cell_angle_beta 90.00
_cell_angle_gamma 90.00
_space_group_name_H-M_alt 'I 4/m'
_space_group_IT_number 87
_space_group_name_Hall '-I 4'
loop_
_atom_site_label
_atom_site_fract_x
_atom_site_fract_y
_atom_site_fract_z
Ag1 0.1014 0.7021 0.0000
Rh1 0.0000 0.0000 0.5000
```

Energy of formation in meV per atom: 158
Total magnetic moment in μB per atom: 0.000
D(E_F) in states/eV/atom: 0.360

***

Q: Look up the D(E_F) of the second one.
A: 0.360 states/eV/atom

***

Q: The highest energy of formation belongs to which entry?
A: Ag4Rh

***

Q: energy of formation of number 2 (Ag4Rh)?
A: 158 meV per atom

***

Q: Which of these has the highest energy of formation?
A: Ag4Rh